MgCuOs2, optimized geometry, DFT GGA-PBE; energy of formation = 451 meV/atom; total energy = -26.35 eV/cell; space-group type = No. 65
1.0
-3.409 2.921 -1.952
2.040 -3.252 -3.038
-1.903 -1.793 0.641
Cu Mg Os
1 1 2
direct
0.500 0.000 0.500
0.000 0.500 0.500
0.000 0.000 0.000
0.500 0.500 0.000